Material: MnCrF2
Method: DFT, GGA+U
State: optimized geometry

Cell: 8.002 8.002 8.002 Å, 23.80 23.80 23.80°
Positions (direct):
Mn  0.500  0.500  0.500
Cr  0.000  0.000  0.000
F  0.876  0.876  0.876
F  0.124  0.124  0.124

The calculation puts the relative energy among the computed polymorphs at 0 meV per atom. The calculation puts the density of states at the Fermi level at 0.6 states/eV/cell. The total magnetization is 10.150 μB/f.u.